GGA-PBE DyGaPd5, relaxed; formation energy = -397.7 meV per atom; space group = No. 15; size of the total moment = 0.000 μB per cell; mass density = 9.81 g/cm³; VASP energy = -5.20 eV/atom; DOS(E_F) = 5.981 states/eV/cell
1.0
5.341 -3.754 0.000
5.341 3.754 0.000
-3.219 0.000 6.453
Dy Ga Pd
2 2 10
Direct
0.020 0.980 0.750
0.980 0.020 0.250
0.000 0.500 0.500
0.500 0.000 0.000
0.202 0.388 0.933
0.208 0.623 0.350
0.377 0.792 0.150
0.386 0.614 0.750
0.388 0.202 0.433
0.612 0.798 0.567
0.614 0.386 0.250
0.623 0.208 0.850
0.792 0.377 0.650
0.798 0.612 0.067